# Na2IrCl | the Alexandria database | GGA-PBE | relaxed
# Polymorph energy (0 for the lowest one)   0.0 meV/atom
# Calculated volume   20.1 Å³/atom
# Spin magnetization   0.031 μB per formula unit
# D(E_F)   0.498 states/eV/atom
# Formation energy without anion corrections   0.218 eV per atom
data_Na2IrCl
_cell_length_a 6.148
_cell_length_b 6.148
_cell_length_c 6.148
_cell_angle_alpha 100.20
_cell_angle_beta 100.20
_cell_angle_gamma 130.23
_space_group_name_H-M_alt 'P 1'
_space_group_IT_number 1
_space_group_name_Hall 'P 1'
loop_
_atom_site_label
_atom_site_type_symbol
_atom_site_fract_x
_atom_site_fract_y
_atom_site_fract_z
_atom_site_occupancy
Na1 Na 0.089 0.625 0.964 1
Na2 Na 0.375 0.339 0.464 1
Na3 Na 0.661 0.125 0.036 1
Na4 Na 0.875 0.911 0.536 1
Ir1 Ir 0.250 0.750 0.500 1
Ir2 Ir 0.500 0.500 0.000 1
Cl1 Cl 0.000 0.000 0.000 1
Cl2 Cl 0.750 0.250 0.500 1